Material: Cs2NaAlGe2
Method: DFT, GGA-PBE
State: relaxed

abc: 7.2967 17.5103 6.6134
angles: 90.00 90.00 90.00
Space group Ibam (No. 72)
Unique sites:
Cs1 0.2377 0.1691 0.0000 (multiplicity 8)
Na1 0.0000 0.0000 0.2500 (multiplicity 4)
Al1 0.0000 0.5000 0.2500 (multiplicity 4)
Ge1 0.1997 0.4191 0.0000 (multiplicity 8)

Summary:
For the volume, the calculation gives 35.21 A^3/atom. The energy relative to the elements comes out at -0.0757 eV/atom.

Material: As2SeIBr
Method: DFT, GGA-PBE
State: relaxed

abc: 5.5568 5.5568 5.3153
angles: 90.00 90.00 90.00
Space group P4/mmm (No. 123)
Unique sites:
As1 0.0000 0.5000 0.0000 (multiplicity 2)
Se1 0.0000 0.0000 0.5000 (multiplicity 1)
I1 0.0000 0.0000 0.0000 (multiplicity 1)
Br1 0.5000 0.5000 0.5000 (multiplicity 1)

Summary:
The energy relative to the elements, uncorrected is 5.603 eV/f.u. For the volume, the calculation gives 32.83 A^3/atom. The calculation puts the energy above the most stable polymorph in this dataset at 471 meV/atom.

Material: Ta2OsW
Method: DFT, GGA-PBE
State: relaxed

abc: 6.4140 6.4140 6.4140
angles: 90.00 90.00 90.00
Space group F-43m (No. 216)
Unique sites:
Ta1 0.0000 0.0000 0.0000 (multiplicity 4)
Ta2 0.2500 0.2500 0.2500 (multiplicity 4)
Os1 0.2500 0.2500 0.7500 (multiplicity 4)
W1 0.0000 0.0000 0.5000 (multiplicity 4)

Summary:
For the volume, the calculation gives 16.49 A^3/atom. The energy relative to the elements comes out at -0.1163 eV/atom. The calculation puts the energy above the most stable polymorph in this dataset at 182 meV/atom.

Material: CuAgF3
Method: DFT, GGA-PBE
State: relaxed

abc: 10.4076 10.4076 10.4076
angles: 90.00 90.00 90.00
Space group Fd-3m (No. 227, origin choice 2)
Unique sites:
Cu1 0.0000 0.0000 0.0000 (multiplicity 16)
Ag1 0.0000 0.0000 0.5000 (multiplicity 16)
F1 0.0808 0.3750 0.3750 (multiplicity 48)

Summary:
The energy relative to the elements, uncorrected is -6.370 eV/f.u. For the volume, the calculation gives 14.09 A^3/atom. The calculation puts the energy above the most stable polymorph in this dataset at 38 meV/atom.

Material: PuThAu4
Method: DFT, GGA-PBE
State: relaxed

abc: 6.6767 16.7382 4.8299
angles: 90.00 90.00 90.00
Space group Cmcm (No. 63)
Unique sites:
Pu1 0.0000 0.1270 0.2500 (multiplicity 4)
Th1 0.0000 0.3767 0.7500 (multiplicity 4)
Au1 0.2449 0.0418 0.7500 (multiplicity 8)
Au2 0.2502 0.2085 0.7500 (multiplicity 8)

Summary:
For the volume, the calculation gives 22.49 A^3/atom. The energy relative to the elements comes out at -0.5815 eV/atom. The calculation puts the energy above the most stable polymorph in this dataset at 0 meV/atom.

Material: Ti2BeN
Method: DFT, GGA-PBE
State: relaxed

abc: 5.6368 5.6368 5.6368
angles: 90.00 90.00 90.00
Space group Fm-3m (No. 225)
Unique sites:
Ti1 0.2500 0.2500 0.2500 (multiplicity 8)
Be1 0.0000 0.0000 0.0000 (multiplicity 4)
N1 0.0000 0.0000 0.5000 (multiplicity 4)

Summary:
The energy relative to the elements, uncorrected is 1.005 eV/f.u. For the volume, the calculation gives 11.19 A^3/atom. The calculation puts the energy above the most stable polymorph in this dataset at 1174 meV/atom.